{"formula": "HgC2Br4", "functional": "PBE", "state": "optimized geometry", "lattice_angstrom": [[-1.2876, 1.4828, 5.2015], [4.7972, -2.1565, 1.8022], [5.3656, 6.7533, 2.3745]], "species": ["C", "C", "Hg", "Br", "Br", "Br", "Br"], "fractional_positions": [[0.5838, 0.5838, 0.8325], [0.4162, 0.4162, 0.1675], [0.0000, 0.0000, 0.0000], [0.6999, 0.6999, 0.6001], [0.3001, 0.3001, 0.3999], [0.0000, 0.5000, 0.0000], [0.5000, 0.0000, 0.0000]], "raw_formation_energy_mev_per_atom": 1283, "crystal_system": "tetragonal", "e_tot_ev_per_cell": -16.46, "dos_ef_per_ev_fu": 5.810, "spacegroup": "No. 139"}

***

{"formula": "Sr2Li3InAu4", "functional": "PBE", "state": "optimized geometry", "lattice_angstrom": [[-0.5240, -4.5185, 0.2120], [4.0175, -0.3668, 2.1122], [-5.0039, 1.0351, 9.6971]], "species": ["Sr", "Sr", "Li", "Li", "Li", "In", "Au", "Au", "Au", "Au"], "fractional_positions": [[0.5000, 0.0000, 0.2340], [0.0000, 0.5000, 0.7660], [0.0000, 0.0000, 0.5000], [0.5000, 0.0000, 0.8879], [0.0000, 0.5000, 0.1121], [0.5000, 0.5000, 0.5000], [0.5000, 0.5000, 0.0000], [0.0000, 0.0000, 0.0000], [0.5000, 0.0000, 0.6504], [0.0000, 0.5000, 0.3496]], "ef_ev_per_fu": -5.85, "crystal_system": "tetragonal", "e_tot_ev_per_cell": -30.80, "dos_ef_per_ev_fu": 4.721, "spacegroup": "No. 115"}

***

{"formula": "CrHgRu", "functional": "PBE", "state": "optimized geometry", "lattice_angstrom": [[6.0318, -0.0006, 0.0006], [5.3412, 2.8028, 0.0074], [0.6906, 0.1640, 2.7986]], "species": ["Cr", "Hg", "Ru"], "fractional_positions": [[0.9776, 0.9776, 0.0224], [0.6636, 0.6636, 0.3364], [0.3588, 0.3588, 0.6412]], "ef_ev_per_fu": 1.00, "polymorph_energy_mev_per_atom": 0, "crystal_system": "tetragonal", "e_tot_ev_per_cell": -18.20, "dos_ef_per_ev_fu": 2.920, "spacegroup": "No. 107"}

***

{"formula": "CeHfTe2", "functional": "PBE", "state": "optimized geometry", "lattice_angstrom": [[-0.6820, -3.7616, -0.6356], [2.5666, -2.6588, 1.1670], [-4.0637, -2.7849, 9.0270]], "species": ["Te", "Te", "Hf", "Ce"], "fractional_positions": [[0.1062, 0.1062, 0.6813], [0.8938, 0.8938, 0.3187], [0.5000, 0.5000, 0.5000], [0.0000, 0.0000, 0.0000]], "raw_formation_energy_mev_per_atom": -479, "polymorph_energy_mev_per_atom": 318, "crystal_system": "trigonal", "e_tot_ev_per_cell": -24.09, "dos_ef_per_ev_fu": 8.973, "spacegroup": "No. 166"}

***

Which formula does entry 3 have?
CrHgRu